Crystalline SmSi2 at its relaxed geometry. Source: the Open Quantum Materials Database, functional GGA-PBE.

calculated total energy	-5.494	eV per atom
symmetry	Fd-3m (227)
ρ	6.14	Mg/m³

Cell and atoms, written as POSCAR:
```
SmSi2
1.0
0.000 3.822 3.822
3.822 0.000 3.822
3.822 3.822 0.000
Si Sm
4 2
direct
0.625 0.125 0.625
0.625 0.625 0.625
0.625 0.625 0.125
0.125 0.625 0.625
0.250 0.250 0.250
0.000 0.000 0.000
```

=====

Crystalline LiSmCdTe3 at its relaxed geometry. Source: the Open Quantum Materials Database, functional GGA-PBE.

symmetry	P2_1/m (11)
excess energy over the best structure of this formula in the dataset	0.00	eV per formula unit
ρ	5.40	Mg/m³

Cell and atoms, written as POSCAR:
```
LiSmCdTe3
1.0
-3.334 4.182 -6.516
-3.334 -2.923 -0.170
-4.611 4.746 8.841
Te Sm Li Cd
6 2 2 2
direct
0.555 0.250 0.354
0.085 0.250 0.354
0.235 0.250 0.952
0.915 0.750 0.646
0.445 0.750 0.646
0.765 0.750 0.048
0.176 0.250 0.650
0.824 0.750 0.350
0.683 0.250 0.621
0.317 0.750 0.379
0.421 0.750 0.899
0.579 0.250 0.101
```

=====

Crystalline MgZrAgAu at its relaxed geometry. Source: the Open Quantum Materials Database, functional GGA-PBE.

symmetry	F-43m (216)
excess energy over the best structure of this formula in the dataset	0.88	eV per formula unit
ρ	9.42	Mg/m³

Cell and atoms, written as POSCAR:
```
MgZrAgAu
1.0
2.395 0.987 3.940
-2.318 0.873 4.012
0.129 -3.128 3.526
Mg Zr Au Ag
1 1 1 1
direct
0.750 0.750 0.750
0.500 0.500 0.500
0.000 0.000 0.000
0.250 0.250 0.250
```

=====

Crystalline Sm2LuAl7Ag2 at its relaxed geometry. Source: the Open Quantum Materials Database, functional GGA-PBE.

calculated total energy	-4.238	eV per atom
symmetry	R-3m (166)
ρ	6.15	Mg/m³

Cell and atoms, written as POSCAR:
```
Sm2LuAl7Ag2
1.0
2.788 1.610 8.823
-2.788 1.610 8.823
0.000 -3.219 8.823
Ag Sm Lu Al
2 2 1 7
direct
0.664 0.664 0.664
0.336 0.336 0.336
0.142 0.142 0.142
0.858 0.858 0.858
0.000 0.000 0.000
0.500 0.500 0.500
0.413 0.925 0.413
0.075 0.587 0.587
0.413 0.413 0.925
0.587 0.075 0.587
0.587 0.587 0.075
0.925 0.413 0.413
```

=====

Crystalline YInCoAg at its relaxed geometry. Source: the Open Quantum Materials Database, functional GGA-PBE.

symmetry	F-43m (216)
excess energy over the best structure of this formula in the dataset	0.71	eV per formula unit
ρ	7.83	Mg/m³

Cell and atoms, written as POSCAR:
```
YInCoAg
1.0
0.454 -4.450 1.763
-3.911 -2.682 0.793
-0.917 -3.800 -2.799
Y Ag In Co
1 1 1 1
direct
0.250 0.250 0.250
0.500 0.500 0.500
0.000 0.000 0.000
0.750 0.750 0.750
```

=====

Crystalline LiNb2Zn at its relaxed geometry. Source: the Open Quantum Materials Database, functional GGA-PBE.

calculated total energy	-5.424	eV per atom
symmetry	F-43m (216)
ρ	6.43	Mg/m³

Cell and atoms, written as POSCAR:
```
LiNb2Zn
1.0
0.000 3.218 3.218
3.218 0.000 3.218
3.218 3.218 0.000
Nb Zn Li
2 1 1
direct
0.000 0.000 0.000
0.750 0.750 0.750
0.500 0.500 0.500
0.250 0.250 0.250
```

=====

Crystalline ZrMo2Ir at its relaxed geometry. Source: the Open Quantum Materials Database, functional GGA-PBE.

calculated total energy	-9.955	eV per atom
symmetry	F-43m (216)
ρ	11.78	Mg/m³

Cell and atoms, written as POSCAR:
```
ZrMo2Ir
1.0
3.016 -3.338 0.741
2.618 0.081 3.731
-0.710 -3.011 3.348
Mo Ir Zr
2 1 1
direct
0.000 0.000 0.000
0.750 0.750 0.750
0.250 0.250 0.250
0.500 0.500 0.500
```

=====

Crystalline NdHfZnCo2 at its relaxed geometry. Source: the Open Quantum Materials Database, functional GGA-PBE.

calculated total energy	-6.229	eV per atom
symmetry	Imm2 (44)
ρ	9.64	Mg/m³

Cell and atoms, written as POSCAR:
```
NdHfZnCo2
1.0
-2.022 2.717 3.963
2.022 -2.717 3.963
2.022 2.717 -3.963
Co Zn Nd Hf
2 1 1 1
direct
0.291 0.506 0.785
0.721 0.506 0.215
0.990 0.990 0.000
0.290 0.790 0.500
0.707 0.207 0.500
```

=====

Crystalline YSi2NiAg at its relaxed geometry. Source: the Open Quantum Materials Database, functional GGA-PBE.

calculated total energy	-5.694	eV per atom
symmetry	I-4m2 (119)
ρ	6.25	Mg/m³

Cell and atoms, written as POSCAR:
```
YSi2NiAg
1.0
-2.023 2.023 5.062
2.023 -2.023 5.062
2.023 2.023 -5.062
Si Ni Y Ag
2 1 1 1
direct
0.136 0.636 0.500
0.364 0.864 0.500
0.500 0.500 0.000
0.750 0.250 0.500
0.000 0.000 0.000
```

=====

Crystalline Co2Tc at its relaxed geometry. Source: the Open Quantum Materials Database, functional GGA-PBE.

symmetry	P4_2/mnm (136)
excess energy over the best structure of this formula in the dataset	3.32	eV per formula unit
ρ	7.78	Mg/m³

Cell and atoms, written as POSCAR:
```
Co2Tc
1.0
5.954 0.000 0.000
0.000 5.954 0.000
0.000 0.000 2.599
Co Tc
4 2
direct
0.261 0.261 0.000
0.761 0.239 0.500
0.739 0.739 0.000
0.239 0.761 0.500
0.000 0.000 0.000
0.500 0.500 0.500
```

=====

Crystalline Zr2NiH6Ir at its relaxed geometry. Source: the Open Quantum Materials Database, functional GGA-PBE.

calculated total energy	-5.428	eV per atom
symmetry	Fm-3m (225)
ρ	8.63	Mg/m³

Cell and atoms, written as POSCAR:
```
Zr2NiH6Ir
1.0
0.000 3.483 3.483
3.483 0.000 3.483
3.483 3.483 0.000
Ir Zr H Ni
1 2 6 1
direct
0.000 0.000 0.000
0.250 0.250 0.250
0.750 0.750 0.750
0.255 0.745 0.255
0.255 0.255 0.745
0.745 0.255 0.255
0.745 0.255 0.745
0.255 0.745 0.745
0.745 0.745 0.255
0.500 0.500 0.500
```

=====

Crystalline RbLaAg at its relaxed geometry. Source: the Open Quantum Materials Database, functional GGA-PBE.

symmetry	F-43m (216)
excess energy over the best structure of this formula in the dataset	0.00	eV per formula unit
ρ	4.73	Mg/m³

Cell and atoms, written as POSCAR:
```
RbLaAg
1.0
0.497 -5.200 1.670
-2.741 -1.734 4.422
-4.204 -3.476 -0.568
Rb Ag La
1 1 1
direct
0.750 0.750 0.750
0.000 0.000 0.000
0.250 0.250 0.250
```